# 1
Here is La6Ge2PdCl3 after structural relaxation from Alexandria. Energies are from GGA-PBE. Values from VASP.

Results
E_form (uncorrected) = -1473 kJ/mol of formula units
Fermi-level density of states = 9.09 states/eV/cell
Symmetry = C2/m
Calculated total energy = -64.80 eV/cell

Geometry as Quantum ESPRESSO input:
```
&SYSTEM
  ibrav = 0, nat = 12, ntyp = 4
/
ATOMIC_SPECIES
Ge 72.64 Ge.upf
La 138.91 La.upf
Cl 35.45 Cl.upf
Pd 106.42 Pd.upf
ATOMIC_POSITIONS crystal
Ge 0.8360 0.6632 0.6720
La 0.6687 0.5802 0.3374
La 0.9996 0.7519 0.9992
La 0.0004 0.2481 0.0008
Cl 0.1724 0.8405 0.3448
Cl 0.8276 0.1595 0.6552
La 0.3402 0.9061 0.6803
Ge 0.1640 0.3368 0.3280
La 0.6598 0.0939 0.3197
Cl 0.5000 0.5000 0.0000
Pd 0.5000 0.0000 0.0000
La 0.3313 0.4198 0.6626
CELL_PARAMETERS angstrom
-0.1478 -0.1539 -4.3758
-7.6752 -3.7955 0.3926
-2.4642 8.9438 1.9618
```


# 2
Here is LaPrGeCl after structural relaxation from Alexandria. Energies are from GGA-PBE. Values from VASP.

Results
E above lowest polymorph = 0.00 eV per formula unit
E_form (uncorrected) = -431 kJ/mol of formula units
Fermi-level density of states = 1.72 states/eV/cell
Symmetry = F-43m
Calculated total energy = -20.64 eV/cell

Geometry as Quantum ESPRESSO input:
```
&SYSTEM
  ibrav = 0, nat = 4, ntyp = 4
/
ATOMIC_SPECIES
Cl 35.45 Cl.upf
Pr 140.91 Pr.upf
La 138.91 La.upf
Ge 72.64 Ge.upf
ATOMIC_POSITIONS crystal
Cl 0.7500 0.7500 0.7500
Pr 0.0000 0.0000 0.0000
La 0.5000 0.5000 0.5000
Ge 0.2500 0.2500 0.2500
CELL_PARAMETERS angstrom
5.2417 0.0000 0.0000
2.6209 4.5395 0.0000
2.6209 1.5132 4.2799
```


# 3
Here is LaPrGeCl after structural relaxation from Alexandria. Energies are from GGA-PBE. Values from VASP.

Results
E above lowest polymorph = 0.32 eV per formula unit
E_form (uncorrected) = -400 kJ/mol of formula units
Fermi-level density of states = 1.99 states/eV/cell
Symmetry = Amm2
Calculated total energy = -20.32 eV/cell

Geometry as Quantum ESPRESSO input:
```
&SYSTEM
  ibrav = 0, nat = 4, ntyp = 4
/
ATOMIC_SPECIES
Cl 35.45 Cl.upf
Pr 140.91 Pr.upf
La 138.91 La.upf
Ge 72.64 Ge.upf
ATOMIC_POSITIONS crystal
Cl 0.8375 0.6750 0.5000
Pr 0.8378 0.6756 0.0000
La 0.1683 0.3366 0.5000
Ge 0.1688 0.3375 0.0000
CELL_PARAMETERS angstrom
-0.2133 1.7431 -4.7417
1.7353 -4.7271 0.8802
-5.5502 -2.1372 -0.5360
```


# 4
Here is La2Pr4Ge3Cl2 after structural relaxation from Alexandria. Energies are from GGA-PBE. Values from VASP.

Results
E_form (uncorrected) = -817 kJ/mol of formula units
Fermi-level density of states = 10.84 states/eV/cell
Symmetry = I4/mmm
Calculated total energy = -54.99 eV/cell

Geometry as Quantum ESPRESSO input:
```
&SYSTEM
  ibrav = 0, nat = 11, ntyp = 4
/
ATOMIC_SPECIES
Ge 72.64 Ge.upf
La 138.91 La.upf
Cl 35.45 Cl.upf
Pr 140.91 Pr.upf
ATOMIC_POSITIONS crystal
Ge 0.8348 0.8348 0.6696
La 0.2968 0.2968 0.5936
Cl 0.5673 0.5673 0.1347
Cl 0.4327 0.4327 0.8653
Pr 0.9109 0.4109 0.8219
Pr 0.0891 0.5891 0.1781
Ge 0.0000 0.0000 0.0000
Pr 0.4109 0.9109 0.8219
Ge 0.1652 0.1652 0.3304
Pr 0.5891 0.0891 0.1781
La 0.7032 0.7032 0.4064
CELL_PARAMETERS angstrom
5.3161 0.0000 0.0000
0.0000 5.3161 0.0000
-2.6580 -2.6580 11.5926
```


# 5
Here is La4GePtCl2 after structural relaxation from Alexandria. Energies are from GGA-PBE. Values from VASP.

Results
E_form (uncorrected) = -1047 kJ/mol of formula units
Fermi-level density of states = 7.15 states/eV/cell
Symmetry = P2/m
Calculated total energy = -44.91 eV/cell

Geometry as Quantum ESPRESSO input:
```
&SYSTEM
  ibrav = 0, nat = 8, ntyp = 4
/
ATOMIC_SPECIES
La 138.91 La.upf
Ge 72.64 Ge.upf
Cl 35.45 Cl.upf
Pt 195.08 Pt.upf
ATOMIC_POSITIONS crystal
La 0.0000 0.7251 0.7665
Ge 0.0000 0.5000 0.5000
Cl 0.0000 0.0000 0.0000
La 0.0000 0.2749 0.2335
Cl 0.5000 0.0000 0.5000
La 0.5000 0.2591 0.7456
Pt 0.5000 0.5000 0.0000
La 0.5000 0.7409 0.2544
CELL_PARAMETERS angstrom
-0.2802 -2.5810 3.3827
6.0959 -3.4648 -2.1387
6.1428 3.4709 3.1572
```


# 6
Here is La8GePt3Cl4 after structural relaxation from Alexandria. Energies are from GGA-PBE. Values from VASP.

Results
E_form (uncorrected) = -2129 kJ/mol of formula units
Fermi-level density of states = 15.09 states/eV/cell
Symmetry = R-3m
Calculated total energy = -91.61 eV/cell

Geometry as Quantum ESPRESSO input:
```
&SYSTEM
  ibrav = 0, nat = 16, ntyp = 4
/
ATOMIC_SPECIES
La 138.91 La.upf
Pt 195.08 Pt.upf
Cl 35.45 Cl.upf
Ge 72.64 Ge.upf
ATOMIC_POSITIONS crystal
La 0.7368 0.7278 0.9824
La 0.2632 0.2722 0.0176
Pt 0.5000 0.5000 0.5000
La 0.2610 0.2833 0.5220
Pt 0.0000 0.5000 0.5000
La 0.2456 0.7278 0.4912
La 0.2456 0.7278 0.9824
Pt 0.5000 0.5000 0.0000
Cl 0.5000 0.0000 0.0000
La 0.7390 0.7167 0.4780
La 0.7544 0.2722 0.5088
La 0.7544 0.2722 0.0176
Cl 0.0000 0.0000 0.5000
Cl 0.0000 0.0000 0.0000
Ge 0.0000 0.5000 0.0000
Cl 0.5000 0.0000 0.5000
CELL_PARAMETERS angstrom
8.6068 0.0000 0.0000
0.0000 8.7491 0.0926
-4.3034 -4.3012 6.0896
```


# 7
Here is La6Ge2PtCl3 after structural relaxation from Alexandria. Energies are from GGA-PBE. Values from VASP.

Results
E_form (uncorrected) = -1566 kJ/mol of formula units
Fermi-level density of states = 9.50 states/eV/cell
Symmetry = C2/m
Calculated total energy = -66.61 eV/cell

Geometry as Quantum ESPRESSO input:
```
&SYSTEM
  ibrav = 0, nat = 12, ntyp = 4
/
ATOMIC_SPECIES
Ge 72.64 Ge.upf
La 138.91 La.upf
Cl 35.45 Cl.upf
Pt 195.08 Pt.upf
ATOMIC_POSITIONS crystal
Ge 0.1652 0.3360 0.3304
La 0.6616 0.0928 0.3233
La 0.0017 0.2353 0.0034
Cl 0.8290 0.1633 0.6579
La 0.9983 0.7647 0.9966
La 0.6695 0.5776 0.3390
Cl 0.5000 0.5000 0.0000
La 0.3305 0.4224 0.6610
Pt 0.5000 0.0000 0.0000
Ge 0.8348 0.6640 0.6696
La 0.3384 0.9072 0.6767
Cl 0.1710 0.8367 0.3421
CELL_PARAMETERS angstrom
-0.9087 3.5126 2.3669
-5.7034 2.5651 -5.9965
-5.0335 -6.8874 4.3245
```


# 8
Here is Rb2LaGeCl6 after structural relaxation from Alexandria. Energies are from GGA-PBE. Values from VASP.

Results
E_form (uncorrected) = -1611 kJ/mol of formula units
Fermi-level density of states = 0.00 states/eV/cell
Symmetry = I4/mmm
Calculated total energy = -39.26 eV/cell

Geometry as Quantum ESPRESSO input:
```
&SYSTEM
  ibrav = 0, nat = 10, ntyp = 4
/
ATOMIC_SPECIES
Cl 35.45 Cl.upf
Ge 72.64 Ge.upf
Rb 85.47 Rb.upf
La 138.91 La.upf
ATOMIC_POSITIONS crystal
Cl 0.2545 0.7455 0.0000
Ge 0.5000 0.5000 0.0000
Cl 0.7809 0.7809 0.4382
Rb 0.7500 0.2500 0.5000
Cl 0.7455 0.2545 0.0000
Cl 0.2545 0.2545 0.0000
La 0.0000 0.0000 0.0000
Cl 0.2191 0.2191 0.5618
Rb 0.2500 0.7500 0.5000
Cl 0.7455 0.7455 0.0000
CELL_PARAMETERS angstrom
7.6936 0.0000 0.0000
0.0000 7.6936 0.0000
3.8468 3.8468 6.3158
```


# 9
Here is RbLaGe2Cl8 after structural relaxation from Alexandria. Energies are from GGA-PBE. Values from VASP.

Results
E_form (uncorrected) = -1747 kJ/mol of formula units
Fermi-level density of states = 0.00 states/eV/cell
Symmetry = P-1
Calculated total energy = -48.01 eV/cell

Geometry as Quantum ESPRESSO input:
```
&SYSTEM
  ibrav = 0, nat = 12, ntyp = 4
/
ATOMIC_SPECIES
Cl 35.45 Cl.upf
Rb 85.47 Rb.upf
Ge 72.64 Ge.upf
La 138.91 La.upf
ATOMIC_POSITIONS crystal
Cl 0.8589 0.2708 0.2167
Rb 0.0000 0.0000 0.5000
Cl 0.8057 0.2159 0.7915
Cl 0.3218 0.2512 0.9611
Ge 0.5432 0.5395 0.2304
Cl 0.1411 0.7292 0.7833
Ge 0.4568 0.4605 0.7696
La 0.0000 0.0000 0.0000
Cl 0.6782 0.7488 0.0389
Cl 0.1943 0.7841 0.2085
Cl 0.6351 0.7260 0.4149
Cl 0.3649 0.2740 0.5851
CELL_PARAMETERS angstrom
6.9725 0.2310 0.2000
0.2994 6.4178 0.0484
0.2614 0.0564 9.5244
```


# 10
Here is La4GeRhCl2 after structural relaxation from Alexandria. Energies are from GGA-PBE. Values from VASP.

Results
E_form (uncorrected) = -969 kJ/mol of formula units
Fermi-level density of states = 7.39 states/eV/cell
Symmetry = P2/m
Calculated total energy = -45.41 eV/cell

Geometry as Quantum ESPRESSO input:
```
&SYSTEM
  ibrav = 0, nat = 8, ntyp = 4
/
ATOMIC_SPECIES
Rh 102.91 Rh.upf
La 138.91 La.upf
Cl 35.45 Cl.upf
Ge 72.64 Ge.upf
ATOMIC_POSITIONS crystal
Rh 0.5000 0.5000 0.0000
La 0.5000 0.7455 0.7748
Cl 0.0000 0.5000 0.5000
Cl 0.5000 0.0000 0.5000
La 0.0000 0.7310 0.2214
La 0.0000 0.2690 0.7786
Ge 0.0000 0.0000 0.0000
La 0.5000 0.2545 0.2252
CELL_PARAMETERS angstrom
-4.0348 1.1127 0.6985
-0.8286 -5.9449 4.6843
2.3048 5.8126 4.0536
```


# 11
Here is La8Ge3RhCl4 after structural relaxation from Alexandria. Energies are from GGA-PBE. Values from VASP.

Results
E_form (uncorrected) = -2003 kJ/mol of formula units
Fermi-level density of states = 11.25 states/eV/cell
Symmetry = R-3m
Calculated total energy = -88.76 eV/cell

Geometry as Quantum ESPRESSO input:
```
&SYSTEM
  ibrav = 0, nat = 16, ntyp = 4
/
ATOMIC_SPECIES
Ge 72.64 Ge.upf
Cl 35.45 Cl.upf
La 138.91 La.upf
Rh 102.91 Rh.upf
ATOMIC_POSITIONS crystal
Ge 0.5000 0.5000 0.0000
Cl 0.0000 0.0000 0.5000
Cl 0.0000 0.0000 0.0000
La 0.2483 0.2706 0.0094
Cl 0.5000 0.0000 0.5000
Ge 0.5000 0.5000 0.5000
La 0.2395 0.7301 0.4790
Cl 0.5000 0.0000 0.0000
Ge 0.0000 0.5000 0.5000
La 0.7611 0.2706 0.0094
La 0.7605 0.2699 0.5210
La 0.2389 0.7294 0.9906
La 0.2529 0.2585 0.5057
La 0.7517 0.7294 0.9906
La 0.7471 0.7415 0.4943
Rh 0.0000 0.5000 0.0000
CELL_PARAMETERS angstrom
-5.2211 1.9404 6.7305
5.4994 -3.7709 5.3532
2.6652 6.3116 -5.4223
```


# 12
Here is LaGeRhCl2 after structural relaxation from Alexandria. Energies are from GGA-PBE. Values from VASP.

Results
E_form (uncorrected) = -249 kJ/mol of formula units
Fermi-level density of states = 0.91 states/eV/cell
Symmetry = P4/mmm
Calculated total energy = -23.17 eV/cell

Geometry as Quantum ESPRESSO input:
```
&SYSTEM
  ibrav = 0, nat = 5, ntyp = 4
/
ATOMIC_SPECIES
Rh 102.91 Rh.upf
Ge 72.64 Ge.upf
Cl 35.45 Cl.upf
La 138.91 La.upf
ATOMIC_POSITIONS crystal
Rh 0.0000 0.5000 0.0000
Ge 0.0000 0.0000 0.0000
Cl 0.0000 0.0000 0.5000
Cl 0.5000 0.0000 0.0000
La 0.5000 0.5000 0.5000
CELL_PARAMETERS angstrom
4.9603 0.0000 0.0000
0.0000 4.8624 0.0000
0.0000 0.0000 4.9603
```